Material: HfAsPtO2
Method: DFT, PBE-GGA
State: optimized geometry

Output
ΔE_f (raw), eV per atom: -1.289

```
data_HfAsPtO2
_chemical_formula_sum 'Hf1 As1 Pt1 O2'
_space_group_name_H-M_alt 'P 4/m m m'
_space_group_IT_number 123
_space_group_name_Hall '-P 4 2'
_cell_length_a 3.9278
_cell_length_b 3.9278
_cell_length_c 5.7964
_cell_angle_alpha 90.00
_cell_angle_beta 90.00
_cell_angle_gamma 90.00
loop_
_atom_site_label
_atom_site_fract_x
_atom_site_fract_y
_atom_site_fract_z
_atom_site_occupancy
Hf1 0.0000 0.0000 0.0000 1
As1 0.5000 0.5000 0.5000 1
Pt1 0.0000 0.0000 0.5000 1
O1 0.0000 0.5000 0.0000 1
```